[1]
# Mn2AsSe (PBE, relaxed)
# - uncorrected formation energy (eV per atom) = -0.064
data_Mn2AsSe
_chemical_formula_sum 'Mn8 As4 Se4'
_space_group_name_H-M_alt 'I -4 2 d'
_space_group_IT_number 122
_space_group_name_Hall 'I -4 2bw'
_cell_length_a 5.883
_cell_length_b 5.883
_cell_length_c 11.388
_cell_angle_alpha 90.00
_cell_angle_beta 90.00
_cell_angle_gamma 90.00
loop_
_atom_site_label
_atom_site_type_symbol
_atom_site_fract_x
_atom_site_fract_y
_atom_site_fract_z
Mn1 Mn 0.243 0.250 0.125
As1 As 0.000 0.000 0.000
Se1 Se 0.000 0.000 0.500



[2]
# ZnCd4Hg9 (PBE, relaxed)
# - ΔH_f (0 K) (eV per atom) = 0.0402
data_ZnCd4Hg9
_chemical_formula_sum 'Zn2 Cd8 Hg18'
_space_group_name_H-M_alt 'P 63/m m c'
_space_group_IT_number 194
_space_group_name_Hall '-P 6c 2c'
_cell_length_a 9.4967
_cell_length_b 9.4967
_cell_length_c 9.2246
_cell_angle_alpha 90.00
_cell_angle_beta 90.00
_cell_angle_gamma 120.00
loop_
_atom_site_label
_atom_site_type_symbol
_atom_site_fract_x
_atom_site_fract_y
_atom_site_fract_z
Zn1 Zn 0.3333 0.6667 0.2500
Cd1 Cd 0.0000 0.0000 0.0000
Cd2 Cd 0.1198 0.2396 0.7500
Hg1 Hg 0.0930 0.5465 0.7500
Hg2 Hg 0.2068 0.4136 0.0513



| no. | magnetic moment (Bohr magnetons per cell) |
| --- | --- |
| 1 | 36.0 |
| 2 | 0.0 |